Density functional theory data (PBE) for crystalline In3AuBr at its relaxed geometry.

## Properties
Total magnetic moment in Bohr magnetons per cell: 0.0
Polymorph energy (0 for the lowest one) in meV/atom: 0

Lattice parameters (Å, degrees): 5.4343 5.4343 5.4343 90.00 90.00 90.00
With the nearest neighbours (Å) after each atom.
Sites, in units of the cell vectors:
1 Br 0.5000 0.5000 0.5000  12 In 3.84
2 In 0.0000 0.0000 0.5000  2 Au 2.72
3 In 0.0000 0.5000 0.0000  2 Au 2.72
4 Au 0.0000 0.0000 0.0000  6 In 2.72
5 In 0.5000 0.0000 0.0000  2 Au 2.72

=====

Density functional theory data (PBE) for crystalline InAu2Br at its relaxed geometry.

## Properties
Total magnetic moment in Bohr magnetons per cell: 0.0
Polymorph energy (0 for the lowest one) in meV/atom: 108

Lattice parameters (Å, degrees): 3.8649 3.8845 7.7745 90.00 90.00 90.00
With the nearest neighbours (Å) after each atom.
Sites, in units of the cell vectors:
1 Br 0.0000 0.0000 0.5652  4 In 3.05
2 Au 0.5000 0.5000 0.0953  4 Au 2.74, 1 In 2.78
3 In 0.5000 0.5000 0.7373  1 Au 2.78, 4 Br 3.05
4 Au 0.0000 0.0000 0.1022  4 Au 2.74

=====

Density functional theory data (PBE) for crystalline InAuBr at its relaxed geometry.

## Properties
Total magnetic moment in Bohr magnetons per cell: 0.0
Polymorph energy (0 for the lowest one) in meV/atom: 273

Lattice parameters (Å, degrees): 4.9468 4.9468 4.9468 60.00 60.00 60.00
With the nearest neighbours (Å) after each atom.
Sites, in units of the cell vectors:
1 Au 0.7500 0.7500 0.7500  4 In 3.03, 4 Br 3.03
2 In 0.5000 0.5000 0.5000  4 Au 3.03
3 Br 0.0000 0.0000 0.0000  4 Au 3.03

=====

Density functional theory data (PBE) for crystalline InAu2Br at its relaxed geometry.

## Properties
Total magnetic moment in Bohr magnetons per cell: 0.0
Polymorph energy (0 for the lowest one) in meV/atom: 413

Lattice parameters (Å, degrees): 5.0408 5.0408 5.0408 60.00 60.00 60.00
With the nearest neighbours (Å) after each atom.
Sites, in units of the cell vectors:
1 Au 0.2500 0.2500 0.2500  4 In 3.09, 4 Br 3.09
2 In 0.5000 0.5000 0.5000  8 Au 3.09
3 Br 0.0000 0.0000 0.0000  8 Au 3.09
4 Au 0.7500 0.7500 0.7500  4 In 3.09, 4 Br 3.09

=====

Which value of total magnetic moment does entry 2 give?
0.0 Bohr magnetons per cell